VASP calculation (PBE) on a relaxed AgHg2TeS4 crystal.

The volume comes out at 191.4 Å³/f.u. As for the space group: C2/c. For the total moment, the calculation gives 0.00 μB/f.u. The density of states at the Fermi level comes out at 4.91 states/eV per cell.

abc: 8.1113 8.1113 8.2652
angles: 119.12 119.12 93.34
Last column: nearest neighbours and their distance in Å.
Element x y z (fractional)
Ag 0.0000 0.5000 0.0000  4 S 2.57-2.64
Ag 0.0000 0.5000 0.5000  4 S 2.57-2.64
Hg 0.5000 0.0000 0.0000  2 S 2.42
Hg 0.5000 0.0000 0.5000  2 S 2.42
Hg 0.0000 0.0000 0.5000  2 S 2.45
Hg 0.5000 0.5000 0.0000  2 S 2.45
Te 0.5000 0.5000 0.5000  4 S 2.67-2.70
Te 0.0000 0.0000 0.0000  4 S 2.67-2.70
S 0.2309 0.7868 0.9480  1 Hg 2.42, 1 Ag 2.64, 1 Te 2.67
S 0.7132 0.2691 0.5520  1 Hg 2.42, 1 Ag 2.64, 1 Te 2.67
S 0.2868 0.7309 0.4479  1 Hg 2.42, 1 Ag 2.64, 1 Te 2.67
S 0.7691 0.2132 0.0521  1 Hg 2.42, 1 Ag 2.64, 1 Te 2.67
S 0.8511 0.7765 0.0910  1 Hg 2.45, 1 Ag 2.57, 1 Te 2.70
S 0.7235 0.6489 0.4090  1 Hg 2.45, 1 Ag 2.57, 1 Te 2.70
S 0.2765 0.3511 0.5910  1 Hg 2.45, 1 Ag 2.57, 1 Te 2.70
S 0.1489 0.2235 0.9090  1 Hg 2.45, 1 Ag 2.57, 1 Te 2.70

***

VASP calculation (PBE) on a relaxed TiAgHg2S4 crystal.

The volume comes out at 201.3 Å³/f.u. As for the space group: I-42m. For the total moment, the calculation gives 0.00 μB/f.u. The density of states at the Fermi level comes out at 3.67 states/eV per cell.

abc: 5.8715 5.8715 7.1636
angles: 114.19 114.19 90.02
Last column: nearest neighbours and their distance in Å.
Element x y z (fractional)
Ti 0.5000 0.5000 0.9999  4 S 2.31
Ag 0.0003 0.0003 0.0006  4 S 2.59
Hg 0.7500 0.2500 0.5001  4 S 2.64
Hg 0.2500 0.7500 0.5001  4 S 2.64
S 0.6190 0.6190 0.7773  1 Ti 2.31
S 0.3811 0.8416 0.2226  1 Ti 2.31, 1 Ag 2.59
S 0.8416 0.3811 0.2226  1 Ti 2.31, 1 Ag 2.59
S 0.1583 0.1583 0.7773  1 Ti 2.31

***

VASP calculation (PBE) on a relaxed TlAgHg2S4 crystal.

The volume comes out at 213.4 Å³/f.u. As for the space group: I-42m. For the total moment, the calculation gives 0.00 μB/f.u. The density of states at the Fermi level comes out at 0.93 states/eV per cell.

abc: 5.9873 5.9873 7.3065
angles: 114.19 114.19 90.01
Last column: nearest neighbours and their distance in Å.
Element x y z (fractional)
Tl 0.5001 0.5001 0.0003  4 S 2.60
Ag 0.9999 0.9999 0.9998  4 S 2.56
Hg 0.7500 0.2500 0.5001  4 S 2.60
Hg 0.2500 0.7500 0.5001  4 S 2.60
S 0.6295 0.6295 0.7534  1 Ag 2.56, 1 Tl 2.60, 2 Hg 2.60
S 0.3704 0.8764 0.2468  1 Ag 2.56, 1 Tl 2.60, 2 Hg 2.60
S 0.8764 0.3704 0.2468  1 Ag 2.56, 1 Tl 2.60, 2 Hg 2.60
S 0.1239 0.1239 0.7534  1 Ag 2.56, 1 Tl 2.60, 2 Hg 2.60

***

VASP calculation (PBE) on a relaxed TlAgHgS crystal.

The volume comes out at 103.5 Å³/f.u. As for the space group: P4/nmm. For the total moment, the calculation gives 0.00 μB/f.u. The density of states at the Fermi level comes out at 1.93 states/eV per cell.

abc: 4.3196 4.3196 11.0886
angles: 90.00 90.00 90.00
Last column: nearest neighbours and their distance in Å.
Element x y z (fractional)
Tl 0.7500 0.7500 0.2362  4 S 3.21, 4 Ag 3.39
Tl 0.2500 0.2500 0.7638  4 S 3.21, 4 Ag 3.39
Ag 0.7500 0.2500 0.0000  4 S 2.71
Ag 0.2500 0.7500 0.0000  4 S 2.71
Hg 0.2500 0.7500 0.5000  4 Hg 3.05
Hg 0.7500 0.2500 0.5000  4 Hg 3.05
S 0.7500 0.7500 0.8527  4 Ag 2.71
S 0.2500 0.2500 0.1473  4 Ag 2.71

***

Number 1: uncorrected formation energy 7 meV/atom. Number 2: uncorrected formation energy -435 meV/atom. Number 3: uncorrected formation energy -136 meV/atom. Number 4: uncorrected formation energy -116 meV/atom.